(1)
## CaNb2Zn (PBE)

Data for a geometry-optimized CaNb2Zn structure.

Computed properties:
Space-group type: I-42d, No. 122
Total magnetic moment: 0.00 μB per formula unit

Cell lengths 3.974, 3.974, 21.435 Å; angles 90.00, 90.00, 90.00 degrees
Fractional positions:
Ca (0.000, 0.000, 0.000)
Ca (0.000, 0.500, 0.250)
Ca (0.500, 0.000, 0.750)
Ca (0.500, 0.500, 0.500)
Nb (0.232, 0.250, 0.625)
Nb (0.250, 0.732, 0.875)
Nb (0.250, 0.768, 0.375)
Nb (0.268, 0.250, 0.125)
Nb (0.732, 0.750, 0.125)
Nb (0.750, 0.232, 0.375)
Nb (0.750, 0.268, 0.875)
Nb (0.768, 0.750, 0.625)
Zn (0.000, 0.000, 0.500)
Zn (0.000, 0.500, 0.750)
Zn (0.500, 0.000, 0.250)
Zn (0.500, 0.500, 0.000)



(2)
## CaNb3Zn (PBE)

Data for a geometry-optimized CaNb3Zn structure.

Computed properties:
Space-group type: Pm-3m, No. 221
Total magnetic moment: 0.00 μB per formula unit

Cell lengths 4.740, 4.740, 4.740 Å; angles 90.00, 90.00, 90.00 degrees
Fractional positions:
Ca (0.000, 0.000, 0.000)
Nb (0.000, 0.000, 0.500)
Nb (0.000, 0.500, 0.000)
Nb (0.500, 0.000, 0.000)
Zn (0.500, 0.500, 0.500)



(3)
## CaNb3Zn (PBE)

Data for a geometry-optimized CaNb3Zn structure.

Computed properties:
Space-group type: Pm-3m, No. 221
Total magnetic moment: 0.00 μB per formula unit

Cell lengths 4.883, 4.883, 4.883 Å; angles 90.00, 90.00, 90.00 degrees
Fractional positions:
Ca (0.000, 0.000, 0.000)
Nb (0.000, 0.500, 0.500)
Nb (0.500, 0.000, 0.500)
Nb (0.500, 0.500, 0.000)
Zn (0.500, 0.500, 0.500)



(4)
## Ca4ZrNb2 (PBE)

Data for a geometry-optimized Ca4ZrNb2 structure.

Computed properties:
Space-group type: I4/mmm, No. 139
Total magnetic moment: 1.68 μB per formula unit

Cell lengths 5.908, 5.908, 14.737 Å; angles 90.00, 90.00, 90.00 degrees
Fractional positions:
Ca (0.000, 0.000, 0.208)
Ca (0.000, 0.000, 0.792)
Ca (0.000, 0.500, 0.000)
Ca (0.000, 0.500, 0.500)
Ca (0.500, 0.000, 0.000)
Ca (0.500, 0.000, 0.500)
Ca (0.500, 0.500, 0.292)
Ca (0.500, 0.500, 0.708)
Zr (0.000, 0.000, 0.000)
Zr (0.500, 0.500, 0.500)
Nb (0.000, 0.000, 0.425)
Nb (0.000, 0.000, 0.575)
Nb (0.500, 0.500, 0.075)
Nb (0.500, 0.500, 0.925)



no.,volume (Å³ per atom),energy relative to the elements (meV/atom)
1,21.154,622
2,21.301,2213
3,23.289,1105
4,36.745,1086